[1]
Computed, not measured: a relaxed MoIrI2 crystal at the PBE level of DFT.

```
4
Lattice="0.000 3.420 3.420 3.420 0.000 3.420 3.420 3.420 0.000" Properties=species:S:1:pos:R:3 pbc="T T T"
I 1.710 1.710 1.710
I 5.130 5.130 5.130
Mo 0.000 0.000 0.000
Ir 3.420 3.420 3.420
```

Results
Total magnetization, Bohr magnetons per cell: 0.0
Energy relative to the lowest polymorph listed for this composition, meV per atom: 63
V, Å³ per cell: 80.00
Formation energy from raw total energies, eV per atom: 1.21
DOS(E_F), states/eV per cell: 4.70

[2]
Computed, not measured: a relaxed MoIrI2N crystal at the PBE level of DFT.

```
5
Lattice="-0.640 3.955 3.651 3.523 -2.471 3.295 2.810 1.908 -1.574" Properties=species:S:1:pos:R:3 pbc="T T T"
I 1.762 -1.236 1.647
I -0.320 1.977 1.825
Mo 0.000 0.000 0.000
Ir 2.847 1.696 2.686
N 1.405 0.954 -0.787
```

Results
Total magnetization, Bohr magnetons per cell: 0.0
Energy relative to the lowest polymorph listed for this composition, meV per atom: 110
V, Å³ per cell: 109.96
Formation energy from raw total energies, eV per atom: 1.11
DOS(E_F), states/eV per cell: 4.76

[3]
Computed, not measured: a relaxed MoIrI2N crystal at the PBE level of DFT.

```
5
Lattice="-4.104 -3.797 1.045 -0.310 -1.193 -5.553 2.560 -2.649 0.426" Properties=species:S:1:pos:R:3 pbc="T T T"
I -0.155 -0.596 -2.776
I -2.052 -1.898 0.523
Mo -0.927 -3.820 -2.041
Ir 0.000 0.000 0.000
N 1.280 -1.325 0.213
```

Results
Total magnetization, Bohr magnetons per cell: 4.5
Energy relative to the lowest polymorph listed for this composition, meV per atom: 0
V, Å³ per cell: 119.97
Formation energy from raw total energies, eV per atom: 1.00
DOS(E_F), states/eV per cell: 3.40

[4]
Computed, not measured: a relaxed MoIrI2N crystal at the PBE level of DFT.

```
5
Lattice="5.477 0.000 0.000 0.000 4.960 0.000 0.000 0.000 5.477" Properties=species:S:1:pos:R:3 pbc="T T T"
I 0.000 0.000 2.738
I 2.738 0.000 0.000
Mo 0.000 2.480 0.000
Ir 0.000 0.000 0.000
N 2.738 2.480 2.738
```

Results
Total magnetization, Bohr magnetons per cell: 2.7
Energy relative to the lowest polymorph listed for this composition, meV per atom: 1032
V, Å³ per cell: 148.76
Formation energy from raw total energies, eV per atom: 2.03
DOS(E_F), states/eV per cell: 2.27